## CePuP2Pt2 (PBE)

Data for crystalline CePuP2Pt2 at its relaxed geometry.

Its density of states at the Fermi level is 2.09 states/eV/atom. Its total DFT energy (no corrections) is -50.266 eV per cell. The value obtained for the formation energy is -1.183 eV per atom. The value obtained for the size of the total moment is 6.02 μB/f.u.

Lattice parameters (Å, degrees): 4.1551 4.1551 7.9480 90.00 90.00 120.00
Fractional coordinates of all 6 atoms:
Ce: 0.0000 0.0000 0.0000
Pu: 0.0000 0.0000 0.5000
P: 0.3333 0.6667 0.2671
P: 0.6667 0.3333 0.7329
Pt: 0.3333 0.6667 0.7609
Pt: 0.6667 0.3333 0.2391